Entry 1:
A geometry-optimized GdPa structure. Source: the Open Quantum Materials Database, functional PBE.

Summary:
As for the energy of formation from the pure elements: 2175 meV/atom.

a b c (Å): 4.5013 4.5013 4.5013
angles (deg): 60.00 60.00 60.00
Fractional coordinates of all 2 atoms:
Gd 0.0000 0.0000 0.0000
Pa 0.2500 0.2500 0.2500

***

Entry 2:
A geometry-optimized Y3Tm2ScSb2Os structure. Source: the Open Quantum Materials Database, functional PBE.

Summary:
As for the total energy: -6.74 eV/atom.

a b c (Å): 4.1979 8.0366 8.0366
angles (deg): 119.91 90.00 90.00
Fractional coordinates of all 9 atoms:
Os 0.5000 0.9815 0.9815
Sb 0.0000 0.6690 0.3387
Sb 0.0000 0.3387 0.6690
Sc 0.0000 0.7663 0.7663
Tm 0.0000 0.2315 0.0011
Tm 0.0000 0.0011 0.2315
Y 0.5000 0.4043 0.4043
Y 0.5000 0.9997 0.6079
Y 0.5000 0.6079 0.9997

***

Entry 3:
A geometry-optimized LaZnTc2 structure. Source: the Open Quantum Materials Database, functional PBE.

Summary:
As for the energy of formation from the pure elements: 359 meV/atom.

a b c (Å): 4.7067 4.7067 4.7067
angles (deg): 60.00 60.00 60.00
Fractional coordinates of all 4 atoms:
La 0.2500 0.2500 0.2500
Tc 0.0000 0.0000 0.0000
Tc 0.7500 0.7500 0.7500
Zn 0.5000 0.5000 0.5000

***

Entry 4:
A geometry-optimized RbHoTe3Pb structure. Source: the Open Quantum Materials Database, functional PBE.

Summary:
As for the total energy: -4.01 eV/atom.

a b c (Å): 8.8933 8.8933 12.8019
angles (deg): 90.00 90.00 150.81
Fractional coordinates of all 12 atoms:
Ho 0.0000 0.0000 0.0000
Ho 0.0000 0.0000 0.5000
Pb 0.5848 0.4152 0.2500
Pb 0.4152 0.5848 0.7500
Rb 0.2847 0.7153 0.2500
Rb 0.7153 0.2847 0.7500
Te 0.6238 0.3762 0.0095
Te 0.9665 0.0335 0.2500
Te 0.6238 0.3762 0.4905
Te 0.3762 0.6238 0.5095
Te 0.0335 0.9665 0.7500
Te 0.3762 0.6238 0.9905

***

Entry 5:
A geometry-optimized NdCdIn structure. Source: the Open Quantum Materials Database, functional PBE.

Summary:
As for the total energy: -3.25 eV/atom.

a b c (Å): 6.2418 6.2418 6.2418
angles (deg): 133.29 92.40 105.81
Fractional coordinates of all 6 atoms:
Cd 0.8589 0.5258 0.3331
Cd 0.1927 0.5258 0.6669
In 0.4173 0.0866 0.3307
In 0.7560 0.0866 0.6693
Nd 0.3069 0.3069 0.0000
Nd 0.8100 0.8100 0.0000

***

Entry 6:
A geometry-optimized TmCoPb structure. Source: the Open Quantum Materials Database, functional PBE.

Summary:
As for the total energy: -5.23 eV/atom.

a b c (Å): 4.5450 4.5450 4.5450
angles (deg): 60.00 60.00 60.00
Fractional coordinates of all 3 atoms:
Co 0.0000 0.0000 0.0000
Pb 0.2500 0.2500 0.2500
Tm 0.7500 0.7500 0.7500